A relaxed structure of ZnCuAs4, computed with PBE-GGA.

Cell lengths 5.502, 5.502, 5.502 Å; angles 60.00, 60.00, 60.00 degrees
Atoms (fractional coordinates):
Zn  0.000  0.000  0.000
Cu  0.250  0.250  0.250
As  0.125  0.625  0.625
As  0.625  0.125  0.625
As  0.625  0.625  0.125
As  0.625  0.625  0.625

Computed properties:
Space-group type: No. 216
VASP energy: -0.1275 hartree per atom
Formation energy: 0.5264 eV/atom
Calculated volume: 19.624 Å³/atom
Total magnetic moment: 0.0 μB per cell
Density of states at the Fermi level: 2.4 states/eV/cell

A relaxed structure of La5Pr2Mg, computed with PBE-GGA.

Cell lengths 7.319, 7.319, 7.319 Å; angles 119.79, 119.79, 90.37 degrees
Atoms (fractional coordinates):
La  0.000  0.000  0.000
La  0.000  0.000  0.500
La  0.000  0.500  0.000
La  0.500  0.000  0.000
La  0.500  0.500  0.500
Pr  0.000  0.500  0.500
Pr  0.500  0.000  0.500
Mg  0.500  0.500  0.000

Computed properties:
Space-group type: No. 107
VASP energy: -0.1651 hartree per atom
Formation energy: -0.0178 eV/atom
Calculated volume: 34.766 Å³/atom
Total magnetic moment: 0.0 μB per cell
Density of states at the Fermi level: 9.8 states/eV/cell

A relaxed structure of EuMgAu, computed with PBE-GGA.

Cell lengths 4.961, 4.961, 4.961 Å; angles 60.00, 60.00, 60.00 degrees
Atoms (fractional coordinates):
Eu  0.000  0.000  0.000
Mg  0.500  0.500  0.500
Au  0.250  0.250  0.250

Computed properties:
Space-group type: No. 216
VASP energy: -0.2037 hartree per atom
Formation energy: -0.4942 eV/atom
Calculated volume: 28.786 Å³/atom
Total magnetic moment: 7.3 μB per cell
Density of states at the Fermi level: 7.5 states/eV/cell

A relaxed structure of CrPb4Br, computed with PBE-GGA.

Cell lengths 6.450, 6.450, 6.450 Å; angles 60.00, 60.00, 60.00 degrees
Atoms (fractional coordinates):
Cr  0.000  0.000  0.000
Pb  0.122  0.626  0.626
Pb  0.626  0.122  0.626
Pb  0.626  0.626  0.122
Pb  0.626  0.626  0.626
Br  0.250  0.250  0.250

Computed properties:
Space-group type: No. 216
VASP energy: -0.1451 hartree per atom
Calculated volume: 31.631 Å³/atom
Total magnetic moment: 4.5 μB per cell
Density of states at the Fermi level: 3.7 states/eV/cell

- Which value of density of states at the Fermi level does entry 3 give?
  7.5 states/eV/cell

- Which formula does entry 3 have?
  EuMgAu

- Among the records above, which one has the highest calculated volume?
  La5Pr2Mg

- What is the formula in the second record?
  La5Pr2Mg